Entry 1:
Dy2HSe2 | PBE-GGA | optimized geometry

Properties
As for the space-group type: No. 36.

a b c (Å): 3.7679 5.4003 10.8517
angles (deg): 90.00 90.00 110.42
With the nearest neighbours (Å) after each atom.
Atoms (fractional coordinates):
Dy: 0.2346 0.4692 0.1365  2 H 2.57, 2 Se 2.83
Dy: 0.0431 0.0862 0.8834  2 H 2.48
Dy: 0.7654 0.5308 0.6365  2 H 2.57, 2 Se 2.83
Dy: 0.9569 0.9138 0.3834  2 H 2.48
H: 0.6408 0.2816 0.0006  4 Dy 2.48-2.57
H: 0.3592 0.7184 0.5006  4 Dy 2.48-2.57
Se: 0.9434 0.8869 0.1257  5 Dy 2.80-2.95, 2 H 3.06
Se: 0.3253 0.6505 0.8391  5 Dy 2.90-2.96, 2 H 3.18
Se: 0.0566 0.1131 0.6257  5 Dy 2.80-2.95, 2 H 3.06
Se: 0.6747 0.3495 0.3391  5 Dy 2.90-2.96, 2 H 3.18

=====

Entry 2:
Dy3H2Se2 | PBE-GGA | optimized geometry

Properties
As for the space-group type: No. 12.

a b c (Å): 3.8881 4.2977 8.3661
angles (deg): 104.93 103.49 89.95
With the nearest neighbours (Å) after each atom.
Atoms (fractional coordinates):
Dy: 0.0000 0.0000 0.0000  4 H 2.24
Dy: 0.6334 0.6327 0.2651  2 H 2.32
Dy: 0.3666 0.3673 0.7349  2 H 2.32
H: 0.4997 0.2589 0.9998  2 H 2.07-2.23, 2 Dy 2.24
H: 0.5003 0.7411 0.0002  2 H 2.07-2.23, 2 Dy 2.24
Se: 0.8221 0.8231 0.6468  6 Dy 2.77-2.99
Se: 0.1779 0.1769 0.3532  6 Dy 2.77-2.99

=====

Entry 3:
Dy2HSe3 | PBE-GGA | optimized geometry

Properties
For the polymorph energy (0 for the lowest one), the calculation gives 0 meV per atom. As for the space-group type: No. 62.

a b c (Å): 3.8893 11.7511 10.8289
angles (deg): 90.00 90.00 90.00
With the nearest neighbours (Å) after each atom.
Atoms (fractional coordinates):
Dy: 0.2500 0.6749 0.4507  2 H 2.24
Dy: 0.7500 0.3251 0.5493  2 H 2.24
Dy: 0.7500 0.1749 0.0493  2 H 2.24
Dy: 0.2500 0.8251 0.9507  2 H 2.24
Dy: 0.2500 0.0151 0.3036  1 H 2.22
Dy: 0.7500 0.9849 0.6964  1 H 2.22
Dy: 0.7500 0.5151 0.1964  1 H 2.22
Dy: 0.2500 0.4849 0.8036  1 H 2.22
H: 0.2500 0.1228 0.1352  3 Dy 2.22-2.24
H: 0.7500 0.8772 0.8648  3 Dy 2.22-2.24
H: 0.7500 0.6228 0.3648  3 Dy 2.22-2.24
H: 0.2500 0.3772 0.6352  3 Dy 2.22-2.24
Se: 0.2500 0.3725 0.0644  5 Dy 2.94-3.12, 1 H 3.03
Se: 0.7500 0.6275 0.9356  5 Dy 2.94-3.12, 1 H 3.03
Se: 0.7500 0.8725 0.4356  5 Dy 2.94-3.12, 1 H 3.03
Se: 0.2500 0.1275 0.5644  5 Dy 2.94-3.12, 1 H 3.03
Se: 0.2500 0.6939 0.1827  4 Dy 2.87-2.95, 2 H 2.89
Se: 0.7500 0.3061 0.8173  4 Dy 2.87-2.95, 2 H 2.89
Se: 0.7500 0.1939 0.3173  4 Dy 2.87-2.95, 2 H 2.89
Se: 0.2500 0.8061 0.6827  4 Dy 2.87-2.95, 2 H 2.89
Se: 0.2500 0.4345 0.3797  3 H 2.85-2.95, 5 Dy 2.93-2.97
Se: 0.7500 0.5655 0.6203  3 H 2.85-2.95, 5 Dy 2.93-2.97
Se: 0.7500 0.9345 0.1203  3 H 2.85-2.95, 5 Dy 2.93-2.97
Se: 0.2500 0.0655 0.8797  3 H 2.85-2.95, 5 Dy 2.93-2.97

=====

Entry 4:
Dy4HSe5 | PBE-GGA | optimized geometry

Properties
As for the space-group type: No. 12.

a b c (Å): 4.1013 10.7977 7.7844
angles (deg): 107.76 105.27 90.00
With the nearest neighbours (Å) after each atom.
Atoms (fractional coordinates):
Dy: 0.3504 0.9219 0.7008  1 H 2.14
Dy: 0.9932 0.6746 0.9865  4 Se 2.69-2.81
Dy: 0.6496 0.0781 0.2992  1 H 2.14
Dy: 0.0068 0.3254 0.0135  4 Se 2.69-2.81
H: 0.5000 0.0000 0.0000  2 Dy 2.14
Se: 0.8333 0.7375 0.6666  3 Dy 2.69-2.81
Se: 0.8505 0.1115 0.7011  4 Dy 2.72-2.92
Se: 0.1495 0.8885 0.2989  4 Dy 2.72-2.92
Se: 0.5000 0.5000 0.0000  4 Dy 2.81
Se: 0.1667 0.2625 0.3334  3 Dy 2.69-2.81

=====

Entry 5:
DySn2HSe4 | PBE-GGA | optimized geometry

Properties
As for the space-group type: No. 10.

a b c (Å): 4.0571 7.2264 7.3085
angles (deg): 71.67 90.00 90.00
With the nearest neighbours (Å) after each atom.
Atoms (fractional coordinates):
Dy: 0.0000 0.5000 0.5000  6 Se 2.87
Sn: 0.0000 0.0000 0.0000  6 Se 3.02
Sn: 0.5000 0.0000 0.5000  6 Se 2.88-2.92
H: 0.5000 0.5000 0.0000  6 Se 2.97-3.00
Se: 0.0000 0.7533 0.7340  1 Dy 2.87, 3 Sn 2.88-3.02, 2 H 3.00
Se: 0.0000 0.2468 0.2660  1 Dy 2.87, 3 Sn 2.88-3.02, 2 H 3.00
Se: 0.5000 0.7400 0.2642  2 Dy 2.87, 3 Sn 2.92-3.02, 1 H 2.97
Se: 0.5000 0.2600 0.7358  2 Dy 2.87, 3 Sn 2.92-3.02, 1 H 2.97

=====

Entry 6:
Dy2TeH2Se | PBE-GGA | optimized geometry

Properties
As for the space-group type: No. 164.

a b c (Å): 3.9078 3.9078 8.1943
angles (deg): 90.00 90.00 120.00
With the nearest neighbours (Å) after each atom.
Atoms (fractional coordinates):
Dy: 0.3333 0.6667 0.7351  3 H 2.26
Dy: 0.6667 0.3333 0.2649  3 H 2.26
Te: 0.0000 0.0000 0.0000  6 H 3.09, 6 Dy 3.13
H: 0.3333 0.6667 0.2573  3 Dy 2.26
H: 0.6667 0.3333 0.7427  3 Dy 2.26
Se: 0.0000 0.0000 0.5000  6 Dy 2.97, 6 H 3.01

=====

One value per record, in order, for DOS(E_F): 4.648; 2.937; 14.248; 2.181; 2.816; 0.000 states/eV/cell.
One value per record, in order, for density: 7766; 8201; 7554; 5505; 5851; 8176 kg/m3.
One value per record, in order, for E: -52.74; -35.87; -125.25; -53.93; -33.79; -30.15 eV/cell.